Below is crystalline Cs2CdGe3S8 at its relaxed geometry, with properties calculated at the GGA-PBEsol level.

abc: 7.401 12.589 16.966
angles: 90.00 90.00 90.00
Space group P2_12_12_1 (No. 19)
Unique sites:
Cs 0.229 0.200 0.350
Cs 0.247 0.130 0.946
Cd 0.025 0.998 0.652
Ge 0.024 0.530 0.346
Ge 0.232 0.553 0.678
Ge 0.240 0.552 0.018
S 0.004 0.124 0.768
S 0.004 0.419 0.240
S 0.007 0.415 0.450
S 0.009 0.114 0.530
S 0.212 0.381 0.640
S 0.216 0.131 0.152
S 0.233 0.379 0.055
S 0.237 0.371 0.844

Values from the calculation:
* uncorrected formation energy: -0.709 eV/atom
* DFT total energy: -4.493 eV/atom
* DOS(E_F): 0.00 states/eV/f.u.